(1)
Below is an optimized crystal structure of SrSmCdGe, with properties calculated at the GGA-PBE level.

abc: 7.630 7.630 7.630
angles: 90.00 90.00 90.00
Space group F-43m (No. 216)
Symmetry-distinct sites (fractional):
Sr1 0.000 0.000 0.000 x4
Sm1 0.000 0.000 0.500 x4
Cd1 0.250 0.250 0.250 x4
Ge1 0.250 0.250 0.750 x4

Output
- ρ (g/cm³) = 6.33
- total energy (eV/atom) = -3.3747
- formation energy from the elements (eV per formula unit) = -1.57

=====

(2)
Below is an optimized crystal structure of Er3Cd2Cu, with properties calculated at the GGA-PBE level.

abc: 3.543 3.543 11.378
angles: 90.00 90.00 90.00
Space group P4/mmm (No. 123)
Symmetry-distinct sites (fractional):
Er1 0.000 0.000 0.000 x1
Er2 0.000 0.000 0.355 x2
Cd1 0.500 0.500 0.175 x2
Cu1 0.500 0.500 0.500 x1

Output
- ρ (g/cm³) = 9.18
- total energy (eV/atom) = -3.5601
- formation energy from the elements (eV per formula unit) = -1.75

=====

(3)
Below is an optimized crystal structure of Sr2LiAu2, with properties calculated at the GGA-PBE level.

abc: 6.126 6.126 8.272
angles: 90.00 90.00 90.00
Space group I4/mmm (No. 139)
Symmetry-distinct sites (fractional):
Sr1 0.000 0.500 0.250 x4
Li1 0.000 0.000 0.000 x2
Au1 0.000 0.000 0.333 x4

Output
- ρ (g/cm³) = 6.16
- total energy (eV/atom) = -2.8383
- formation energy from the elements (eV per formula unit) = -2.36